DFT (PBE) results for a geometry-optimized LiTmCd structure.

Output
Crystal system: monoclinic
ρ (g/cm³): 6.95
Distance to the lowest polymorph of the same formula (eV per atom): 0.0000
DOS(E_F) (states/eV/cell): 6.3

Unit cell a=3.4814 b=3.4539 c=11.4493 alpha=90.00 beta=90.25 gamma=90.00
With the nearest neighbours (Å) after each atom.
Space group P2_1/m (No. 11)
Unique sites:
Li1 0.2473 0.2500 0.0734  5 Cd 2.88-3.20, 4 Li 2.96-2.99
Tm1 0.2481 0.2500 0.3916  4 Cd 3.24, 8 Tm 3.45-3.49
Cd1 0.2538 0.2500 0.7939  5 Li 2.88-3.20